(1)
The following is a DFT calculation (PBE-GGA) of a relaxed NaFe2SnAu crystal.

Cell lengths 4.9822, 4.9822, 5.1973 Å; angles 90.00, 90.00, 90.00 degrees
Fractional coordinates of all 5 atoms:
Na  0.0000  0.0000  0.0000
Fe  0.0000  0.5000  0.5000
Fe  0.5000  0.0000  0.5000
Sn  0.5000  0.5000  0.0000
Au  0.5000  0.5000  0.5000

Values from the calculation:
M_tot (μB per cell): 6.5
SG: No. 123

---

(2)
The following is a DFT calculation (PBE-GGA) of a relaxed PmBPb crystal.

Cell lengths 12.9779, 3.9653, 5.3134 Å; angles 90.00, 90.00, 90.00 degrees
Fractional coordinates of all 12 atoms:
Pm  0.1053  0.2500  0.1450
Pm  0.3947  0.7500  0.6450
Pm  0.6053  0.2500  0.3550
Pm  0.8947  0.7500  0.8550
B  0.0144  0.2500  0.6812
B  0.4856  0.7500  0.1812
B  0.5144  0.2500  0.8188
B  0.9856  0.7500  0.3188
Pb  0.1386  0.7500  0.6401
Pb  0.3614  0.2500  0.1401
Pb  0.6386  0.7500  0.8599
Pb  0.8614  0.2500  0.3599

Values from the calculation:
M_tot (μB per cell): 0.0
SG: No. 62

---

Summary of calculated formation energy in kJ/mol of atoms
80.9, 3.2
(order as listed above)